No. 1
# Li3AgPb (meta-GGA SCAN, single point on PBEsol structure)
# - Space-group type: Pm-3m
# - Energy relative to the elements: -0.017 eV per atom
data_Li3AgPb
_chemical_formula_sum 'Li3 Ag1 Pb1'
_cell_length_a 4.758
_cell_length_b 4.758
_cell_length_c 4.758
_cell_angle_alpha 90.00
_cell_angle_beta 90.00
_cell_angle_gamma 90.00
_symmetry_space_group_name_H-M 'P 1'
_symmetry_Int_Tables_number 1
loop_
_symmetry_equiv_pos_as_xyz
'x,y,z'
loop_
_atom_site_label
_atom_site_type_symbol
_atom_site_fract_x
_atom_site_fract_y
_atom_site_fract_z
Ag1 Ag 0.000 0.000 0.000
Li1 Li 0.500 0.000 0.000
Pb1 Pb 0.500 0.500 0.500
Li2 Li 0.000 0.000 0.500
Li3 Li 0.000 0.500 0.000

No. 2
# OsPt3 (meta-GGA SCAN, single point on PBEsol structure)
# - Space-group type: C2/m
# - Energy relative to the elements: 0.111 eV per atom
data_OsPt3
_chemical_formula_sum 'Os1 Pt3'
_cell_length_a 2.758
_cell_length_b 4.728
_cell_length_c 4.777
_cell_angle_alpha 99.36
_cell_angle_beta 90.00
_cell_angle_gamma 106.96
_symmetry_space_group_name_H-M 'P 1'
_symmetry_Int_Tables_number 1
loop_
_symmetry_equiv_pos_as_xyz
'x,y,z'
loop_
_atom_site_label
_atom_site_type_symbol
_atom_site_fract_x
_atom_site_fract_y
_atom_site_fract_z
Pt1 Pt 0.745 0.491 0.242
Os1 Os 0.000 0.000 0.000
Pt2 Pt 0.500 0.000 0.500
Pt3 Pt 0.255 0.509 0.758

No. 3
# CdNi2Te (meta-GGA SCAN, single point on PBEsol structure)
# - Space-group type: Imm2
# - Formation energy (no corrections): 17.8 kJ/mol of atoms
data_CdNi2Te
_chemical_formula_sum 'Cd1 Ni2 Te1'
_cell_length_a 3.034
_cell_length_b 4.122
_cell_length_c 5.899
_cell_angle_alpha 110.45
_cell_angle_beta 104.90
_cell_angle_gamma 90.00
_symmetry_space_group_name_H-M 'P 1'
_symmetry_Int_Tables_number 1
loop_
_symmetry_equiv_pos_as_xyz
'x,y,z'
loop_
_atom_site_label
_atom_site_type_symbol
_atom_site_fract_x
_atom_site_fract_y
_atom_site_fract_z
Ni1 Ni 0.760 0.260 0.519
Te1 Te 0.456 0.456 0.913
Ni2 Ni 0.060 0.060 0.120
Cd1 Cd 0.224 0.724 0.448

| no. | spin magnetization (μB per atom) |
| --- | --- |
| 1 | 0.000 |
| 2 | 0.001 |
| 3 | 0.000 |